Below is crystalline Dy7Y5 at its relaxed geometry, with properties calculated at the PBE level.

Output
Formation enthalpy at 0 K (eV/atom): 0.1955
M_tot (μB/f.u.): 0.001
Distance to the lowest polymorph of the same formula (eV/f.u.): 2.28
E_tot (eV per atom): -5.182

a = 9.601 Å, b = 5.699 Å, c = 14.649 Å
α = 90.00°, β = 102.95°, γ = 90.00°
Space group C2/m (No. 12)
Unique sites:
Dy 0.000 0.000 0.000
Dy 0.047 0.500 0.712
Dy 0.185 0.000 0.581
Dy 0.238 0.500 0.173
Y 0.000 0.500 0.500
Y 0.120 0.000 0.304
Y 0.144 0.500 0.939


Below is crystalline LaErZnSi at its relaxed geometry, with properties calculated at the PBE level.

Output
M_tot (μB/f.u.): 0.000
E_tot (eV per atom): -4.496
E_form (uncorrected) (eV per atom): -0.45

a = 7.205 Å, b = 7.205 Å, c = 7.205 Å
α = 90.00°, β = 90.00°, γ = 90.00°
Space group F-43m (No. 216)
Unique sites:
La 0.000 0.000 0.000
Er 0.000 0.000 0.500
Zn 0.250 0.250 0.750
Si 0.250 0.250 0.250


Below is crystalline Tb2SmDy2 at its relaxed geometry, with properties calculated at the PBE level.

Output
Formation enthalpy at 0 K (eV/atom): 0.3801
M_tot (μB/f.u.): 0.000
Distance to the lowest polymorph of the same formula (eV/f.u.): 1.46
E_tot (eV per atom): -4.257

a = 5.910 Å, b = 8.918 Å, c = 6.718 Å
α = 90.00°, β = 90.00°, γ = 90.00°
Space group Cmmm (No. 65)
Unique sites:
Tb 0.000 0.000 0.245
Sm 0.000 0.500 0.500
Dy 0.000 0.334 0.000


Below is crystalline Pd3PtRh at its relaxed geometry, with properties calculated at the PBE level.

Output
Formation enthalpy at 0 K (eV/atom): 1.3541
M_tot (μB/f.u.): 1.489
Distance to the lowest polymorph of the same formula (eV/f.u.): 6.36
E_tot (eV per atom): -4.440

a = 4.720 Å, b = 4.720 Å, c = 4.720 Å
α = 90.00°, β = 90.00°, γ = 90.00°
Space group Pm-3m (No. 221)
Unique sites:
Pd 0.000 0.000 0.500
Pt 0.500 0.500 0.500
Rh 0.000 0.000 0.000


Below is crystalline La2GeP at its relaxed geometry, with properties calculated at the PBE level.

Output
Formation enthalpy at 0 K (eV/atom): -1.1004
M_tot (μB/f.u.): 0.000
Distance to the lowest polymorph of the same formula (eV/f.u.): 0.47
E_tot (eV per atom): -6.071

a = 4.2246 Å, b = 4.2246 Å, c = 22.4628 Å
α = 90.00°, β = 90.00°, γ = 120.00°
Space group R-3m (No. 166, hexagonal axes)
Unique sites:
La 0.0000 0.0000 0.2439
Ge 0.0000 0.0000 0.0000
P 0.0000 0.0000 0.5000


Below is crystalline MnFeS2 at its relaxed geometry, with properties calculated at the PBE level.

Output
M_tot (μB/f.u.): 5.000
Distance to the lowest polymorph of the same formula (eV/f.u.): 1.68
E_tot (eV per atom): -6.594
E_form (uncorrected) (eV per atom): -0.12

a = 3.2363 Å, b = 3.2363 Å, c = 21.3555 Å
α = 90.00°, β = 90.00°, γ = 120.00°
Space group R-3m (No. 166, hexagonal axes)
Unique sites:
Mn 0.0000 0.0000 0.0000
Fe 0.0000 0.0000 0.5000
S 0.0000 0.0000 0.3964


Below is crystalline Tb5ErTh at its relaxed geometry, with properties calculated at the PBE level.

Output
Formation enthalpy at 0 K (eV/atom): 0.2009
M_tot (μB/f.u.): 0.001
E_tot (eV per atom): -4.818

a = 6.122 Å, b = 17.546 Å, c = 8.655 Å
α = 90.00°, β = 101.49°, γ = 90.00°
Space group C2/c (No. 15)
Unique sites:
Tb 0.000 0.148 0.250
Tb 0.114 0.346 0.963
Tb 0.199 0.186 0.645
Er 0.000 0.487 0.250
Th 0.000 0.000 0.000


Below is crystalline TePtSe2 at its relaxed geometry, with properties calculated at the PBE level.

Output
M_tot (μB/f.u.): 0.000
E_tot (eV per atom): -4.170
E_form (uncorrected) (eV per atom): -0.13

a = 3.8386 Å, b = 3.8386 Å, c = 24.4975 Å
α = 90.00°, β = 90.00°, γ = 120.00°
Space group R-3m (No. 166, hexagonal axes)
Unique sites:
Te 0.0000 0.0000 0.0000
Pt 0.0000 0.0000 0.5000
Se 0.0000 0.0000 0.1138


Below is crystalline InBr3N at its relaxed geometry, with properties calculated at the PBE level.

Output
M_tot (μB/f.u.): 3.061
Distance to the lowest polymorph of the same formula (eV/f.u.): 0.00
E_tot (eV per atom): -2.633
E_form (uncorrected) (eV per atom): 0.58

a = 5.459 Å, b = 5.459 Å, c = 5.459 Å
α = 90.00°, β = 90.00°, γ = 90.00°
Space group Pm-3m (No. 221)
Unique sites:
In 0.000 0.000 0.000
Br 0.000 0.000 0.500
N 0.500 0.500 0.500


Below is crystalline ScTaTl2H at its relaxed geometry, with properties calculated at the PBE level.

Output
M_tot (μB/f.u.): 0.000
E_tot (eV per atom): -4.598

a = 5.582 Å, b = 5.582 Å, c = 3.317 Å
α = 90.00°, β = 90.00°, γ = 90.00°
Space group P4/mmm (No. 123)
Unique sites:
Sc 0.000 0.000 0.000
Ta 0.500 0.500 0.500
Tl 0.000 0.500 0.000
H 0.000 0.000 0.500


Below is crystalline Be2NiAg at its relaxed geometry, with properties calculated at the PBE level.

Output
Formation enthalpy at 0 K (eV/atom): 0.0691
M_tot (μB/f.u.): 0.000
Distance to the lowest polymorph of the same formula (eV/f.u.): 0.82
E_tot (eV per atom): -3.952

a = 7.435 Å, b = 2.672 Å, c = 4.743 Å
α = 90.00°, β = 101.33°, γ = 90.00°
Space group C2/m (No. 12)
Unique sites:
Be 0.239 0.000 0.187
Ni 0.000 0.500 0.000
Ag 0.000 0.000 0.500


Below is crystalline Zn3Sb5 at its relaxed geometry, with properties calculated at the PBE level.

Output
M_tot (μB/f.u.): 0.000
E_tot (eV per atom): -2.820
E_form (uncorrected) (eV per atom): 0.23

a = 8.386 Å, b = 11.035 Å, c = 4.168 Å
α = 90.00°, β = 90.00°, γ = 90.00°
Space group Cmmm (No. 65)
Unique sites:
Zn 0.000 0.000 0.000
Zn 0.000 0.237 0.500
Sb 0.000 0.500 0.000
Sb 0.222 0.000 0.500
Sb 0.250 0.250 0.000